No. 1
VASP calculation (PBE-GGA) on a geometry-optimized TbTl2Cd structure.

```
data_TbTl2Cd
_cell_length_a 5.854
_cell_length_b 5.854
_cell_length_c 5.854
_cell_angle_alpha 49.64
_cell_angle_beta 49.64
_cell_angle_gamma 49.64
_space_group_name_H-M_alt 'P 1'
_space_group_IT_number 1
loop_
_space_group_symop_operation_xyz
'x,y,z'
loop_
_atom_site_label
_atom_site_fract_x
_atom_site_fract_y
_atom_site_fract_z
Tb1 0.000 0.000 0.000
Tl1 0.240 0.240 0.240
Tl2 0.760 0.760 0.760
Cd1 0.500 0.500 0.500
```

Properties
- formation energy from the elements (eV/atom) = -0.137
- polymorph energy (0 for the lowest one) (meV per atom) = 115.1
- DOS(E_F) (states/eV per atom) = 0.47



No. 2
VASP calculation (PBE-GGA) on a geometry-optimized Tb8Tl2Cd structure.

```
data_Tb8Tl2Cd
_cell_length_a 9.370
_cell_length_b 9.370
_cell_length_c 7.075
_cell_angle_alpha 98.59
_cell_angle_beta 98.59
_cell_angle_gamma 32.46
_space_group_name_H-M_alt 'P 1'
_space_group_IT_number 1
loop_
_space_group_symop_operation_xyz
'x,y,z'
loop_
_atom_site_label
_atom_site_fract_x
_atom_site_fract_y
_atom_site_fract_z
Tb1 0.031 0.031 0.245
Tb2 0.180 0.180 0.774
Tb3 0.337 0.337 0.562
Tb4 0.410 0.410 0.055
Tb5 0.590 0.590 0.945
Tb6 0.663 0.663 0.438
Tb7 0.820 0.820 0.226
Tb8 0.969 0.969 0.755
Tl1 0.208 0.208 0.219
Tl2 0.792 0.792 0.781
Cd1 0.500 0.500 0.500
```

Properties
- formation energy from the elements (eV/atom) = -0.145
- polymorph energy (0 for the lowest one) (meV per atom) = 36.5
- DOS(E_F) (states/eV per atom) = 0.98



No. 3
VASP calculation (PBE-GGA) on a geometry-optimized TbTlCd structure.

```
data_TbTlCd
_cell_length_a 6.511
_cell_length_b 6.511
_cell_length_c 6.511
_cell_angle_alpha 147.56
_cell_angle_beta 147.56
_cell_angle_gamma 46.54
_space_group_name_H-M_alt 'P 1'
_space_group_IT_number 1
loop_
_space_group_symop_operation_xyz
'x,y,z'
loop_
_atom_site_label
_atom_site_fract_x
_atom_site_fract_y
_atom_site_fract_z
Tb1 0.000 0.000 0.000
Tl1 0.676 0.676 0.000
Cd1 0.333 0.333 0.000
```

Properties
- formation energy from the elements (eV/atom) = -0.192
- DOS(E_F) (states/eV per atom) = 0.61



No. 4
VASP calculation (PBE-GGA) on a geometry-optimized Tb4TlCd3 structure.

```
data_Tb4TlCd3
_cell_length_a 3.687
_cell_length_b 4.909
_cell_length_c 12.094
_cell_angle_alpha 90.00
_cell_angle_beta 90.00
_cell_angle_gamma 90.00
_space_group_name_H-M_alt 'P 1'
_space_group_IT_number 1
loop_
_space_group_symop_operation_xyz
'x,y,z'
loop_
_atom_site_label
_atom_site_fract_x
_atom_site_fract_y
_atom_site_fract_z
Tb1 0.000 0.000 0.000
Tb2 0.000 0.500 0.314
Tb3 0.500 0.000 0.495
Tb4 0.500 0.500 0.816
Tl1 0.000 0.000 0.734
Cd1 0.000 0.500 0.579
Cd2 0.500 0.000 0.229
Cd3 0.500 0.500 0.083
```

Properties
- formation energy from the elements (eV/atom) = -0.277
- polymorph energy (0 for the lowest one) (meV per atom) = 56.5
- DOS(E_F) (states/eV per atom) = 0.92



No. 5
VASP calculation (PBE-GGA) on a geometry-optimized Tb2Tl3Cd structure.

```
data_Tb2Tl3Cd
_cell_length_a 10.214
_cell_length_b 9.533
_cell_length_c 6.205
_cell_angle_alpha 77.77
_cell_angle_beta 65.81
_cell_angle_gamma 36.42
_space_group_name_H-M_alt 'P 1'
_space_group_IT_number 1
loop_
_space_group_symop_operation_xyz
'x,y,z'
loop_
_atom_site_label
_atom_site_fract_x
_atom_site_fract_y
_atom_site_fract_z
Tb1 0.248 0.752 0.752
Tb2 0.250 0.250 0.250
Tb3 0.750 0.750 0.750
Tb4 0.752 0.248 0.248
Tl1 0.170 0.170 0.830
Tl2 0.170 0.661 0.339
Tl3 0.339 0.830 0.170
Tl4 0.661 0.170 0.830
Tl5 0.830 0.339 0.661
Tl6 0.830 0.830 0.170
Cd1 0.333 0.333 0.667
Cd2 0.667 0.667 0.333
```

Properties
- formation energy from the elements (eV/atom) = -0.209
- DOS(E_F) (states/eV per atom) = 0.67



No. 6
VASP calculation (PBE-GGA) on a geometry-optimized Tb8Tl5Cd structure.

```
data_Tb8Tl5Cd
_cell_length_a 8.109
_cell_length_b 8.109
_cell_length_c 8.109
_cell_angle_alpha 109.50
_cell_angle_beta 109.50
_cell_angle_gamma 109.41
_space_group_name_H-M_alt 'P 1'
_space_group_IT_number 1
loop_
_space_group_symop_operation_xyz
'x,y,z'
loop_
_atom_site_label
_atom_site_fract_x
_atom_site_fract_y
_atom_site_fract_z
Tb1 0.023 0.627 0.744
Tb2 0.229 0.486 0.101
Tb3 0.373 0.117 0.396
Tb4 0.385 0.128 0.899
Tb5 0.514 0.615 0.743
Tb6 0.721 0.977 0.604
Tb7 0.872 0.771 0.257
Tb8 0.883 0.279 0.256
Tl1 0.121 0.242 0.624
Tl2 0.250 0.750 0.500
Tl3 0.504 0.879 0.122
Tl4 0.618 0.496 0.376
Tl5 0.758 0.382 0.878
Cd1 0.000 0.000 0.000
```

Properties
- formation energy from the elements (eV/atom) = -0.232
- DOS(E_F) (states/eV per atom) = 1.33



No. 7
VASP calculation (PBE-GGA) on a geometry-optimized TbTl2Cd structure.

```
data_TbTl2Cd
_cell_length_a 5.307
_cell_length_b 5.307
_cell_length_c 5.307
_cell_angle_alpha 60.00
_cell_angle_beta 60.00
_cell_angle_gamma 60.00
_space_group_name_H-M_alt 'P 1'
_space_group_IT_number 1
loop_
_space_group_symop_operation_xyz
'x,y,z'
loop_
_atom_site_label
_atom_site_fract_x
_atom_site_fract_y
_atom_site_fract_z
Tb1 0.000 0.000 0.000
Tl1 0.250 0.250 0.250
Tl2 0.750 0.750 0.750
Cd1 0.500 0.500 0.500
```

Properties
- formation energy from the elements (eV/atom) = -0.129
- polymorph energy (0 for the lowest one) (meV per atom) = 123.3
- DOS(E_F) (states/eV per atom) = 0.73



No. 8
VASP calculation (PBE-GGA) on a geometry-optimized Tb3Tl4Cd2 structure.

```
data_Tb3Tl4Cd2
_cell_length_a 6.264
_cell_length_b 6.264
_cell_length_c 9.400
_cell_angle_alpha 114.37
_cell_angle_beta 114.37
_cell_angle_gamma 46.48
_space_group_name_H-M_alt 'P 1'
_space_group_IT_number 1
loop_
_space_group_symop_operation_xyz
'x,y,z'
loop_
_atom_site_label
_atom_site_fract_x
_atom_site_fract_y
_atom_site_fract_z
Tb1 0.000 0.000 0.000
Tb2 0.345 0.345 0.323
Tb3 0.655 0.655 0.677
Tl1 0.038 0.038 0.364
Tl2 0.313 0.313 0.965
Tl3 0.687 0.687 0.035
Tl4 0.962 0.962 0.636
Cd1 0.341 0.341 0.669
Cd2 0.659 0.659 0.331
```

Properties
- formation energy from the elements (eV/atom) = -0.253
- DOS(E_F) (states/eV per atom) = 0.54



No. 9
VASP calculation (PBE-GGA) on a geometry-optimized Tb4Tl2Cd3 structure.

```
data_Tb4Tl2Cd3
_cell_length_a 5.205
_cell_length_b 5.205
_cell_length_c 10.272
_cell_angle_alpha 90.06
_cell_angle_beta 90.06
_cell_angle_gamma 60.05
_space_group_name_H-M_alt 'P 1'
_space_group_IT_number 1
loop_
_space_group_symop_operation_xyz
'x,y,z'
loop_
_atom_site_label
_atom_site_fract_x
_atom_site_fract_y
_atom_site_fract_z
Tb1 0.000 0.000 0.171
Tb2 0.000 0.000 0.829
Tb3 0.333 0.333 0.383
Tb4 0.667 0.667 0.617
Tl1 0.333 0.333 0.707
Tl2 0.667 0.667 0.293
Cd1 0.000 0.000 0.500
Cd2 0.333 0.333 0.031
Cd3 0.667 0.667 0.969
```

Properties
- formation energy from the elements (eV/atom) = -0.277
- DOS(E_F) (states/eV per atom) = 0.99



No. 10
VASP calculation (PBE-GGA) on a geometry-optimized Tb12Tl2Cd5 structure.

```
data_Tb12Tl2Cd5
_cell_length_a 9.581
_cell_length_b 9.581
_cell_length_c 8.299
_cell_angle_alpha 104.32
_cell_angle_beta 104.32
_cell_angle_gamma 51.41
_space_group_name_H-M_alt 'P 1'
_space_group_IT_number 1
loop_
_space_group_symop_operation_xyz
'x,y,z'
loop_
_atom_site_label
_atom_site_fract_x
_atom_site_fract_y
_atom_site_fract_z
Tb1 0.017 0.017 0.310
Tb2 0.029 0.601 0.325
Tb3 0.089 0.681 0.963
Tb4 0.319 0.911 0.037
Tb5 0.374 0.374 0.661
Tb6 0.399 0.971 0.675
Tb7 0.601 0.029 0.325
Tb8 0.626 0.626 0.339
Tb9 0.681 0.089 0.963
Tb10 0.911 0.319 0.037
Tb11 0.971 0.399 0.675
Tb12 0.983 0.983 0.690
Tl1 0.319 0.681 0.500
Tl2 0.681 0.319 0.500
Cd1 0.203 0.203 0.363
Cd2 0.274 0.274 0.008
Cd3 0.500 0.500 0.000
Cd4 0.726 0.726 0.992
Cd5 0.797 0.797 0.637
```

Properties
- formation energy from the elements (eV/atom) = -0.077
- DOS(E_F) (states/eV per atom) = 1.00



No. 11
VASP calculation (PBE-GGA) on a geometry-optimized Tb5Tl8Cd structure.

```
data_Tb5Tl8Cd
_cell_length_a 8.038
_cell_length_b 8.038
_cell_length_c 8.038
_cell_angle_alpha 108.59
_cell_angle_beta 108.59
_cell_angle_gamma 111.25
_space_group_name_H-M_alt 'P 1'
_space_group_IT_number 1
loop_
_space_group_symop_operation_xyz
'x,y,z'
loop_
_atom_site_label
_atom_site_fract_x
_atom_site_fract_y
_atom_site_fract_z
Tb1 0.000 0.000 0.000
Tb2 0.089 0.477 0.844
Tb3 0.523 0.367 0.612
Tb4 0.633 0.245 0.156
Tb5 0.755 0.911 0.388
Tl1 0.072 0.305 0.417
Tl2 0.235 0.133 0.762
Tl3 0.345 0.928 0.232
Tl4 0.371 0.473 0.238
Tl5 0.527 0.765 0.898
Tl6 0.695 0.112 0.768
Tl7 0.867 0.629 0.102
Tl8 0.888 0.655 0.583
Cd1 0.250 0.750 0.500
```

Properties
- formation energy from the elements (eV/atom) = -0.172
- DOS(E_F) (states/eV per atom) = 0.74



No. 12
VASP calculation (PBE-GGA) on a geometry-optimized Tb3Tl3Cd2 structure.

```
data_Tb3Tl3Cd2
_cell_length_a 9.026
_cell_length_b 9.026
_cell_length_c 6.149
_cell_angle_alpha 90.00
_cell_angle_beta 90.00
_cell_angle_gamma 120.00
_space_group_name_H-M_alt 'P 1'
_space_group_IT_number 1
loop_
_space_group_symop_operation_xyz
'x,y,z'
loop_
_atom_site_label
_atom_site_fract_x
_atom_site_fract_y
_atom_site_fract_z
Tb1 0.000 0.246 0.250
Tb2 0.000 0.754 0.750
Tb3 0.246 0.000 0.250
Tb4 0.246 0.246 0.750
Tb5 0.754 0.000 0.750
Tb6 0.754 0.754 0.250
Tl1 0.000 0.394 0.750
Tl2 0.000 0.606 0.250
Tl3 0.394 0.000 0.750
Tl4 0.394 0.394 0.250
Tl5 0.606 0.000 0.250
Tl6 0.606 0.606 0.750
Cd1 0.333 0.667 0.000
Cd2 0.333 0.667 0.500
Cd3 0.667 0.333 0.000
Cd4 0.667 0.333 0.500
```

Properties
- formation energy from the elements (eV/atom) = -0.176
- polymorph energy (0 for the lowest one) (meV per atom) = 78.3
- DOS(E_F) (states/eV per atom) = 0.63



Please write out number 4 again, unchanged.
VASP calculation (PBE-GGA) on a geometry-optimized Tb4TlCd3 structure.

```
data_Tb4TlCd3
_cell_length_a 3.687
_cell_length_b 4.909
_cell_length_c 12.094
_cell_angle_alpha 90.00
_cell_angle_beta 90.00
_cell_angle_gamma 90.00
_space_group_name_H-M_alt 'P 1'
_space_group_IT_number 1
loop_
_space_group_symop_operation_xyz
'x,y,z'
loop_
_atom_site_label
_atom_site_fract_x
_atom_site_fract_y
_atom_site_fract_z
Tb1 0.000 0.000 0.000
Tb2 0.000 0.500 0.314
Tb3 0.500 0.000 0.495
Tb4 0.500 0.500 0.816
Tl1 0.000 0.000 0.734
Cd1 0.000 0.500 0.579
Cd2 0.500 0.000 0.229
Cd3 0.500 0.500 0.083
```

Properties
- formation energy from the elements (eV/atom) = -0.277
- polymorph energy (0 for the lowest one) (meV per atom) = 56.5
- DOS(E_F) (states/eV per atom) = 0.92